{
  "formula": "V2CrC2",
  "functional": "GGA-PBE",
  "state": "optimized geometry",
  "lattice_angstrom": [[0.000, 4.705, 5.075], [2.430, 0.000, 5.075], [2.430, 4.705, 0.000]],
  "species": ["V", "V", "V", "V", "Cr", "Cr", "C", "C", "C", "C"],
  "fractional_positions": [[0.090, 0.660, 0.090], [0.340, 0.910, 0.340], [0.660, 0.090, 0.660], [0.910, 0.340, 0.910], [0.375, 0.375, 0.375], [0.625, 0.625, 0.625], [0.000, 0.500, 0.500], [0.500, 0.000, 0.500], [0.500, 0.500, 0.000], [0.500, 0.500, 0.500]],
  "total_magnetization_mub_per_fu": 0.000,
  "spacegroup": "Fddd (70)",
  "final_energy_ev_per_cell": -90.3,
  "volume_a3_per_cell": 116.0
}